CuHPd2Pb | PBE | optimized geometry

The value obtained for the electronic total energy is -4.3649 eV/atom.

The space group is P4/mmm (No. 123) and the conventional cell measures 4.1257, 4.1257 and 4.1258 Å, with angles of 90.00, 90.00 and 90.00 degrees. The asymmetric unit holds Cu at (0.0000, 0.0000, 0.0000), H at (0.0000, 0.0000, 0.5000), Pd at (0.0000, 0.5000, 0.5000) and Pb at (0.5000, 0.5000, 0.0000).